Record 1
Computed, not measured: a geometry-optimized TcSe2Br structure at the GGA-PBEsol level of DFT.

Values from the calculation:
The density of states at the Fermi level comes out at 9.50 states/eV per cell. The calculation puts the total energy at -4.440 eV/atom. The energy above the most stable polymorph in this dataset is 1150 meV/atom. The mass density is 7.7 g/cm³.

Cell lengths 5.1878, 8.7084, 3.2216 Å; angles 90.00, 90.00, 90.00 degrees
With the nearest neighbours (Å) after each atom.
Space group Cmmm (No. 65)
Asymmetric unit:
Tc (0.0000, 0.0000, 0.0000) [2 per cell]  2 Br 2.59
Se (0.2500, 0.2500, 0.5000) [4 per cell]  2 Se 2.59
Br (0.0000, 0.5000, 0.0000) [2 per cell]  2 Tc 2.59

---

Record 2
Computed, not measured: a geometry-optimized TcSe2Br structure at the GGA-PBEsol level of DFT.

Values from the calculation:
The density of states at the Fermi level comes out at 7.74 states/eV per cell. The calculation puts the total energy at -4.984 eV/atom. The energy above the most stable polymorph in this dataset is 605 meV/atom. The mass density is 6.9 g/cm³.

Cell lengths 3.0767, 4.9150, 10.7532 Å; angles 90.00, 90.00, 90.00 degrees
With the nearest neighbours (Å) after each atom.
Space group Cmmm (No. 65)
Asymmetric unit:
Tc (0.0000, 0.0000, 0.0000) [2 per cell]  4 Se 2.53
Se (0.0000, 0.5000, 0.1864) [4 per cell]  2 Tc 2.53
Br (0.0000, 0.0000, 0.5000) [2 per cell]  6 Br 2.90-3.08

---

Record 3
Computed, not measured: a geometry-optimized TcSe2Br structure at the GGA-PBEsol level of DFT.

Values from the calculation:
The density of states at the Fermi level comes out at 3.04 states/eV per cell. The calculation puts the total energy at -4.922 eV/atom. The energy above the most stable polymorph in this dataset is 668 meV/atom. The mass density is 7.0 g/cm³.

Cell lengths 3.3420, 3.3420, 7.1557 Å; angles 90.00, 90.00, 90.00 degrees
With the nearest neighbours (Å) after each atom.
Space group P4mm (No. 99)
Asymmetric unit:
Tc (0.0000, 0.0000, 0.0000) [1 per cell]  5 Se 2.53-2.58
Se (0.0000, 0.0000, 0.6468) [1 per cell]  1 Tc 2.53, 4 Se 2.79
Se (0.5000, 0.5000, 0.8545) [1 per cell]  4 Tc 2.58, 4 Se 2.79
Br (0.5000, 0.5000, 0.2658) [1 per cell]  1 Se 2.94, 4 Tc 3.03

---

Record 4
Computed, not measured: a geometry-optimized TcSe2Br structure at the GGA-PBEsol level of DFT.

Values from the calculation:
The density of states at the Fermi level comes out at 3.91 states/eV per cell. The calculation puts the total energy at -5.326 eV/atom. The energy above the most stable polymorph in this dataset is 264 meV/atom. The mass density is 6.4 g/cm³.

Cell lengths 6.9155, 3.2805, 7.8126 Å; angles 90.00, 99.92, 90.00 degrees
With the nearest neighbours (Å) after each atom.
Space group C2/m (No. 12)
Asymmetric unit:
Tc (0.0000, 0.0000, 0.0000) [2 per cell]  6 Se 2.50
Se (0.1604, 0.5000, 0.8281) [4 per cell]  3 Tc 2.50, 1 Br 2.61
Br (0.0000, 0.5000, 0.5000) [2 per cell]  2 Se 2.61

---

Record 5
Computed, not measured: a geometry-optimized Tc2SeBr structure at the GGA-PBEsol level of DFT.

Values from the calculation:
The density of states at the Fermi level comes out at 2.60 states/eV per cell. The calculation puts the total energy at -6.835 eV/atom. The energy above the most stable polymorph in this dataset is 0 meV/atom. The mass density is 8.1 g/cm³.

Cell lengths 3.0176, 3.8139, 6.3134 Å; angles 90.00, 90.00, 90.00 degrees
With the nearest neighbours (Å) after each atom.
Space group Pmm2 (No. 25)
Asymmetric unit:
Tc (0.0000, 0.0000, 0.0000) [1 per cell]  1 Br 2.44, 4 Se 2.69, 4 Tc 2.71
Tc (0.5000, 0.5000, 0.1885) [1 per cell]  1 Se 2.35
Se (0.5000, 0.5000, 0.8165) [1 per cell]  1 Tc 2.35
Br (0.0000, 0.0000, 0.3860) [1 per cell]  1 Tc 2.44

---

Record 6
Computed, not measured: a geometry-optimized TcSeBr structure at the GGA-PBEsol level of DFT.

Values from the calculation:
The density of states at the Fermi level comes out at 1.72 states/eV per cell. The calculation puts the total energy at -5.728 eV/atom. The mass density is 6.2 g/cm³.

Cell lengths 3.7512, 3.7512, 5.6862 Å; angles 90.00, 90.00, 120.00 degrees
With the nearest neighbours (Å) after each atom.
Space group P3m1 (No. 156)
Asymmetric unit:
Tc (0.0000, 0.0000, 0.0000) [1 per cell]  3 Se 2.36
Se (0.6667, 0.3333, 0.1644) [1 per cell]  3 Tc 2.36
Br (0.3333, 0.6667, 0.7121) [1 per cell]  3 Tc 2.71